Material: BaCa2Se
Method: DFT, PBE
State: optimized geometry

Cell lengths 5.466, 5.480, 10.099 Å; angles 90.00, 90.00, 90.00 degrees
Atoms (fractional coordinates):
Ba1 0.000 0.000 0.000
Ba2 0.500 0.500 0.000
Ca1 0.000 0.000 0.364
Ca2 0.000 0.500 0.662
Ca3 0.500 0.000 0.662
Ca4 0.500 0.500 0.364
Se1 0.000 0.500 0.216
Se2 0.500 0.000 0.216

Calculated values
* energy: -3.167 eV per atom
* E_form (uncorrected): -0.8146 eV/atom